[1]
PmSi3Ir3: relaxed, PBE.

Summary:
The calculation puts the formation energy (no corrections) at -622.0 meV per atom. For the energy above the most stable polymorph in this dataset, the calculation gives 0.0 kJ/mol of formula units. The value obtained for the total DFT energy (no corrections) is -7.42 eV per atom. The crystal system is cubic.

extended XYZ file:
```
28
Lattice="7.655 0.000 0.000 0.000 7.655 0.000 0.000 0.000 7.655" Properties=species:S:1:pos:R:3 pbc="T T T"
Pm 7.234 0.421 4.248
Pm 4.248 7.234 0.421
Pm 0.421 4.248 7.234
Pm 3.406 3.406 3.406
Si 7.486 1.443 7.068
Si 3.241 3.996 6.212
Si 7.068 7.486 1.443
Si 1.443 7.068 7.486
Si 4.414 0.169 5.270
Si 0.587 3.658 2.384
Si 3.658 2.384 0.587
Si 5.270 4.414 0.169
Si 3.996 6.212 3.241
Si 6.212 3.241 3.996
Si 0.169 5.270 4.414
Si 2.384 0.587 3.658
Ir 6.822 6.822 6.822
Ir 4.660 0.833 2.995
Ir 1.421 6.234 2.407
Ir 5.248 5.248 5.248
Ir 2.339 6.167 5.316
Ir 6.167 5.316 2.339
Ir 1.488 1.488 1.488
Ir 5.316 2.339 6.167
Ir 2.407 1.421 6.234
Ir 6.234 2.407 1.421
Ir 2.995 4.660 0.833
Ir 0.833 2.995 4.660
```



[2]
KNd3Pu2Se6: relaxed, PBE.

Summary:
The calculation puts the formation energy (no corrections) at -1671.6 meV per atom. The value obtained for the total DFT energy (no corrections) is -7.09 eV per atom. The crystal system is monoclinic.

extended XYZ file:
```
12
Lattice="-2.893 3.035 -0.508 -5.096 -5.543 -4.104 -1.086 -2.443 9.140" Properties=species:S:1:pos:R:3 pbc="T T T"
Nd -4.007 -0.041 5.012
Nd -5.068 -4.911 -0.484
Nd -3.994 -1.254 -2.306
Se -1.356 -1.465 -1.035
Se -7.719 -3.486 5.563
Se -6.305 -5.655 2.106
Se -3.829 -2.948 4.182
Se -2.770 0.704 2.422
Se -5.246 -2.003 0.346
Pu -6.510 -2.777 2.916
Pu -2.565 -2.174 1.612
K -1.446 1.518 -0.254
```



[3]
NaFeIr: relaxed, PBE.

Summary:
The energy of formation comes out at 0.30 eV/atom. For the energy above the most stable polymorph in this dataset, the calculation gives 11.3 kJ/mol of formula units. The value obtained for the total DFT energy (no corrections) is -5.91 eV per atom. The crystal system is monoclinic.

extended XYZ file:
```
6
Lattice="4.933 -0.310 -0.063 -1.563 5.566 0.782 0.018 -0.596 4.265" Properties=species:S:1:pos:R:3 pbc="T T T"
Fe 0.557 0.690 0.866
Fe 1.824 0.400 2.994
Ir 3.021 0.916 0.888
Ir 4.293 -0.135 2.910
Na -0.839 3.057 3.378
Na 1.663 3.601 1.266
```



[4]
PrTm2Ag: relaxed, PBE.

Summary:
The energy of formation comes out at 0.00 eV/atom. For the energy above the most stable polymorph in this dataset, the calculation gives 54.0 kJ/mol of formula units. The value obtained for the total DFT energy (no corrections) is -4.14 eV per atom. The crystal system is trigonal.

extended XYZ file:
```
4
Lattice="3.625 0.000 0.000 1.812 3.139 0.000 1.812 1.046 10.300" Properties=species:S:1:pos:R:3 pbc="T T T"
Pr 3.625 2.093 5.137
Tm 1.812 1.046 8.102
Tm 1.812 1.046 2.200
Ag 3.625 2.093 0.011
```



[5]
PaBClO4: relaxed, PBE.

Summary:
The calculation puts the formation energy (no corrections) at -2457.1 meV per atom. The value obtained for the total DFT energy (no corrections) is -7.86 eV per atom. The crystal system is monoclinic.

extended XYZ file:
```
14
Lattice="5.885 0.134 -0.232 2.076 5.508 -0.232 1.376 0.975 5.996" Properties=species:S:1:pos:R:3 pbc="T T T"
O 6.204 4.397 2.680
O 1.999 2.844 0.772
O 4.932 3.495 4.393
O 5.990 5.673 4.761
O 4.404 3.122 1.140
O 3.345 0.944 0.772
O 7.337 3.773 4.761
O 3.132 2.220 2.853
Pa 3.266 2.315 4.926
Pa 6.070 4.302 0.606
B 3.240 2.296 1.410
B 6.096 4.321 4.123
Cl 8.922 6.324 4.071
Cl 0.414 0.293 1.462
```



[6]
BaGaCl: relaxed, PBE.

Summary:
The calculation puts the formation energy (no corrections) at -1412.8 meV per atom. The value obtained for the total DFT energy (no corrections) is -3.68 eV per atom. The crystal system is monoclinic.

extended XYZ file:
```
6
Lattice="-1.600 1.583 3.971 0.475 -2.487 3.797 10.212 5.096 2.586" Properties=species:S:1:pos:R:3 pbc="T T T"
Ga 4.388 1.961 6.479
Ga 4.699 2.230 3.876
Ba 2.840 1.412 0.834
Ba 6.246 2.779 9.521
Cl 8.359 4.064 4.624
Cl 0.728 0.127 5.731
```